# 1
DFT (PBE) results for CrOsBr2 after structural relaxation.

Cell lengths 4.6399, 4.6399, 3.2897 Å; angles 90.00, 90.00, 90.00 degrees
Fractional coordinates of all 4 atoms:
Cr 0.0000 0.0000 0.0000
Os 0.5000 0.5000 0.0000
Br 0.0000 0.5000 0.5000
Br 0.5000 0.0000 0.5000

polymorph energy (0 for the lowest one)	908	meV/atom
uncorrected formation energy	4.50	eV per formula unit
D(E_F)	1.0680	states/eV per atom

---

# 2
DFT (PBE) results for CrOs2Br after structural relaxation.

Cell lengths 4.4776, 4.4776, 3.0023 Å; angles 90.00, 90.00, 90.00 degrees
Fractional coordinates of all 4 atoms:
Cr 0.0000 0.0000 0.0000
Os 0.0000 0.5000 0.5000
Os 0.5000 0.0000 0.5000
Br 0.5000 0.5000 0.0000

polymorph energy (0 for the lowest one)	549	meV/atom
uncorrected formation energy	4.91	eV per formula unit
D(E_F)	0.9538	states/eV per atom

---

# 3
DFT (PBE) results for Cr2OsBr after structural relaxation.

Cell lengths 5.5367, 7.3027, 2.9310 Å; angles 90.00, 90.00, 90.00 degrees
Fractional coordinates of all 8 atoms:
Cr 0.2500 0.2500 0.0000
Cr 0.2500 0.7500 0.0000
Cr 0.7500 0.2500 0.0000
Cr 0.7500 0.7500 0.0000
Os 0.0000 0.0000 0.5000
Os 0.5000 0.5000 0.5000
Br 0.0000 0.5000 0.5000
Br 0.5000 0.0000 0.5000

polymorph energy (0 for the lowest one)	293	meV/atom
uncorrected formation energy	3.41	eV per formula unit
D(E_F)	0.9242	states/eV per atom

---

Values of E, in order: -19.700; -28.842; -57.478, all in eV/cell.